w.
Density functional theory data (PBE-GGA) for a relaxed SrTl6Pb2 crystal.

Calculated values
D(E_F), states/eV per cell: 10.87

```
data_SrTl6Pb2
_chemical_formula_sum 'Sr3 Tl18 Pb6'
_space_group_name_H-M_alt 'R 3 m'
_space_group_IT_number 160
_space_group_name_Hall 'R 3 -2"'
_cell_length_a 6.8879
_cell_length_b 6.8879
_cell_length_c 23.7613
_cell_angle_alpha 90.00
_cell_angle_beta 90.00
_cell_angle_gamma 120.00
loop_
_atom_site_label
_atom_site_type_symbol
_atom_site_fract_x
_atom_site_fract_y
_atom_site_fract_z
Sr1 Sr 0.0000 0.0000 0.0000
Tl1 Tl 0.1687 0.3375 0.8857
Tl2 Tl 0.1762 0.3525 0.1092
Pb1 Pb 0.0000 0.0000 0.5703
Pb2 Pb 0.0000 0.0000 0.7576
```


x.
Density functional theory data (PBE-GGA) for a relaxed SrTl6Pb2 crystal.

Calculated values
D(E_F), states/eV per cell: 8.65

```
data_SrTl6Pb2
_chemical_formula_sum 'Sr2 Tl12 Pb4'
_space_group_name_H-M_alt 'P 42/m n m'
_space_group_IT_number 136
_space_group_name_Hall '-P 4n 2n'
_cell_length_a 10.4493
_cell_length_b 10.4493
_cell_length_c 5.1900
_cell_angle_alpha 90.00
_cell_angle_beta 90.00
_cell_angle_gamma 90.00
loop_
_atom_site_label
_atom_site_type_symbol
_atom_site_fract_x
_atom_site_fract_y
_atom_site_fract_z
Sr1 Sr 0.0000 0.0000 0.0000
Tl1 Tl 0.0074 0.3391 0.0000
Tl2 Tl 0.1652 0.8348 0.5000
Pb1 Pb 0.1850 0.1850 0.5000
```


Question: of the structures shown, which is the most stable? Reply: x.